DFT (PBE) results for an optimized crystal structure of TlSiS4.

For the distance to the lowest polymorph of the same formula, the calculation gives 0.189 eV per atom. The value obtained for the energy is -4.232 eV per atom. As for the density of states at the Fermi level: 0.90 states/eV/atom. Its uncorrected formation energy is -182 meV per atom.

The space group is I-4 (No. 82) and the conventional cell measures 5.633, 5.633 and 9.956 Å, with angles of 90.00, 90.00 and 90.00 degrees. The asymmetric unit holds Tl at (0.000, 0.000, 0.000), Si at (0.000, 0.500, 0.250) and S at (0.198, 0.750, 0.365).